1.
DFT (PBEsol) results for a relaxed structure of Hf2BeIn2.

Total magnetization, μB per cell: 0.00
E_form, eV/atom: 0.659
DOS(E_F), states/eV per cell: 6.40
SG: I4/mmm, No. 139

Cell: 3.841 3.841 7.854 Å, 104.16 104.16 90.00°
Fractional positions:
In 0.750 0.250 0.500
Be 0.000 0.000 0.000
In 0.250 0.750 0.500
Hf 0.410 0.410 0.819
Hf 0.590 0.590 0.181

2.
DFT (PBEsol) results for a relaxed structure of LiSc2Pt.

Total magnetization, μB per cell: 0.00
Energy relative to the lowest polymorph listed for this composition, meV/atom: 0
E_form, eV/atom: -0.723
DOS(E_F), states/eV per cell: 2.61
SG: Fm-3m, No. 225

Cell: 4.618 4.618 4.618 Å, 60.00 60.00 60.00°
Fractional positions:
Pt 0.500 0.500 0.500
Sc 0.750 0.750 0.750
Sc 0.250 0.250 0.250
Li 0.000 0.000 0.000

3.
DFT (PBEsol) results for a relaxed structure of LiNiIr2.

Total magnetization, μB per cell: 0.01
Energy relative to the lowest polymorph listed for this composition, meV/atom: 132
E_form, eV/atom: 0.090
DOS(E_F), states/eV per cell: 5.18
SG: I4/mmm, No. 139

Cell: 3.700 3.700 4.451 Å, 114.56 114.56 90.00°
Fractional positions:
Li 0.500 0.500 0.000
Ir 0.250 0.750 0.500
Ni 0.000 0.000 0.000
Ir 0.750 0.250 0.500

4.
DFT (PBEsol) results for a relaxed structure of FeTcRu3.

Total magnetization, μB per cell: 5.11
E_form, eV/atom: 1.950
DOS(E_F), states/eV per cell: 6.62
SG: Pm-3m, No. 221

Cell: 4.507 4.507 4.507 Å, 90.00 90.00 90.00°
Fractional positions:
Ru 0.000 0.500 0.000
Ru 0.000 0.000 0.500
Tc 0.000 0.000 0.000
Fe 0.500 0.500 0.500
Ru 0.500 0.000 0.000

5.
DFT (PBEsol) results for a relaxed structure of La2InRe.

Total magnetization, μB per cell: 0.00
E_form, eV/atom: 0.218
DOS(E_F), states/eV per cell: 2.61
SG: P4mm, No. 99

Cell: 3.586 3.586 7.139 Å, 90.00 90.00 90.00°
Fractional positions:
Re 0.000 0.000 0.518
La 0.500 0.500 0.279
La 0.000 0.000 0.995
In 0.500 0.500 0.708

6.
DFT (PBEsol) results for a relaxed structure of Y2MgSb.

Total magnetization, μB per cell: 0.00
Energy relative to the lowest polymorph listed for this composition, meV/atom: 72
DOS(E_F), states/eV per cell: 3.71
SG: Imm2, No. 44
ΔE_f (raw), eV/atom: -0.54

Cell: 4.106 4.730 6.186 Å, 112.48 109.38 90.00°
Fractional positions:
Sb 0.237 0.737 0.474
Y 0.753 0.253 0.505
Y 0.991 0.991 0.982
Mg 0.519 0.519 0.039

7.
DFT (PBEsol) results for a relaxed structure of In2SiOs.

Total magnetization, μB per cell: 0.00
DOS(E_F), states/eV per cell: 1.98
SG: Pmmm, No. 47
ΔE_f (raw), eV/atom: 0.47

Cell: 3.266 4.001 5.322 Å, 90.00 90.01 90.00°
Fractional positions:
Os 0.500 0.500 0.000
In 0.000 0.000 0.754
Si 0.500 0.500 0.500
In 0.000 0.000 0.246

8.
DFT (PBEsol) results for a relaxed structure of KRePt.

Total magnetization, μB per cell: 0.00
E_form, eV/atom: 0.559
DOS(E_F), states/eV per cell: 2.42
SG: Imm2, No. 44

Cell: 2.673 4.128 6.518 Å, 108.46 101.83 90.00°
Fractional positions:
Re 0.280 0.280 0.560
Pt 0.717 0.717 0.434
K 0.003 0.003 0.006